Compound: YCo4Ge2
Source: Alexandria via LeMat-Bulk
Functional: PBE
Structure: optimized geometry

Values from the calculation:
**ΔH_f (0 K)**: -0.39 eV/atom
**Raw total energy**: -6.691 eV per atom

abc: 7.2722 7.2722 3.6903
angles: 90.00 90.00 90.00
With the nearest neighbours (Å) after each atom.
Space group P4_2/mnm (No. 136)
One atom of each set of equivalent atoms:
1 Y 0.0000 0.0000 0.0000 (multiplicity 2)  6 Ge 2.84-2.95
2 Co 0.0799 0.3534 0.5000 (multiplicity 8)  3 Ge 2.40, 5 Co 2.43-2.52
3 Ge 0.2235 0.7765 0.5000 (multiplicity 4)  6 Co 2.40

---

Compound: YZn2Co2Ge
Source: Alexandria via LeMat-Bulk
Functional: PBE
Structure: optimized geometry

Values from the calculation:
**ΔH_f (0 K)**: -0.07 eV/atom
**Raw total energy**: -4.709 eV per atom

abc: 4.3417 4.3417 5.5658
angles: 90.00 90.00 90.00
With the nearest neighbours (Å) after each atom.
Space group P4/mmm (No. 123)
One atom of each set of equivalent atoms:
1 Y 0.0000 0.0000 0.0000 (multiplicity 1)  2 Ge 2.78
2 Zn 0.5000 0.5000 0.2374 (multiplicity 2)  4 Co 2.62, 2 Zn 2.64-2.92
3 Co 0.0000 0.5000 0.5000 (multiplicity 2)  2 Ge 2.17
4 Ge 0.0000 0.0000 0.5000 (multiplicity 1)  4 Co 2.17

---

Compound: Y2ZnCo3Ge4
Source: Alexandria via LeMat-Bulk
Functional: PBE
Structure: optimized geometry

Values from the calculation:
**ΔH_f (0 K)**: -0.53 eV/atom
**Raw total energy**: -5.928 eV per atom

abc: 4.0730 4.0730 9.9363
angles: 90.00 90.00 90.00
With the nearest neighbours (Å) after each atom.
Space group P-4m2 (No. 115)
One atom of each set of equivalent atoms:
1 Y 0.0000 0.5000 0.2396 (multiplicity 2)  8 Ge 3.10-3.13, 6 Co 3.11-3.29, 2 Zn 3.29
2 Zn 0.0000 0.0000 0.5000 (multiplicity 1)  4 Ge 2.50
3 Co 0.0000 0.5000 0.8789 (multiplicity 2)  5 Ge 2.31-2.37
4 Co 0.5000 0.5000 0.5000 (multiplicity 1)  4 Ge 2.50
5 Ge 0.0000 0.0000 0.0000 (multiplicity 1)  4 Co 2.37
6 Ge 0.0000 0.5000 0.6463 (multiplicity 2)  3 Co 2.31-2.50, 2 Zn 2.50
7 Ge 0.5000 0.5000 0.0000 (multiplicity 1)  4 Co 2.37

---

Compound: YZnCo2Ge2
Source: Alexandria via LeMat-Bulk
Functional: PBE
Structure: optimized geometry

Values from the calculation:
**ΔH_f (0 K)**: -0.47 eV/atom
**Raw total energy**: -5.670 eV per atom

abc: 4.0646 4.0646 6.6142
angles: 90.00 90.00 120.00
With the nearest neighbours (Å) after each atom.
Space group P-3m1 (No. 164)
One atom of each set of equivalent atoms:
1 Y 0.0000 0.0000 0.0000 (multiplicity 1)  6 Ge 2.96, 2 Zn 3.31
2 Zn 0.0000 0.0000 0.5000 (multiplicity 1)  6 Co 2.52, 6 Ge 2.79
3 Co 0.3333 0.6667 0.6383 (multiplicity 2)  4 Ge 2.42, 3 Zn 2.52
4 Ge 0.3333 0.6667 0.2720 (multiplicity 2)  4 Co 2.42

---

Compound: YbCo2Ge2
Source: Alexandria via LeMat-Bulk
Functional: PBE
Structure: optimized geometry

Values from the calculation:
**ΔH_f (0 K)**: -0.54 eV/atom
**Raw total energy**: -5.532 eV per atom

abc: 3.9501 3.9501 10.2473
angles: 90.00 90.00 90.00
With the nearest neighbours (Å) after each atom.
Space group I4/mmm (No. 139)
One atom of each set of equivalent atoms:
1 Yb 0.0000 0.0000 0.0000 (multiplicity 2)  8 Ge 3.09, 8 Co 3.23
2 Co 0.0000 0.5000 0.2500 (multiplicity 4)  4 Ge 2.33
3 Ge 0.0000 0.0000 0.3708 (multiplicity 4)  4 Co 2.33

---

Compound: YbCoGe
Source: Alexandria via LeMat-Bulk
Functional: PBE
Structure: optimized geometry

Values from the calculation:
**ΔH_f (0 K)**: -0.53 eV/atom
**Raw total energy**: -4.943 eV per atom

abc: 7.1278 4.2885 6.6718
angles: 90.00 90.00 90.00
With the nearest neighbours (Å) after each atom.
Space group Pnma (No. 62)
One atom of each set of equivalent atoms:
1 Yb 0.0163 0.2500 0.1820 (multiplicity 4)  4 Co 2.81-2.96, 6 Ge 2.95-3.12
2 Co 0.1406 0.7500 0.4310 (multiplicity 4)  4 Ge 2.39-2.48
3 Ge 0.1922 0.2500 0.6109 (multiplicity 4)  4 Co 2.39-2.48

---

Compound: YbCo4Ge2
Source: Alexandria via LeMat-Bulk
Functional: PBE
Structure: optimized geometry

Values from the calculation:
**ΔH_f (0 K)**: -0.31 eV/atom
**Raw total energy**: -5.910 eV per atom

abc: 7.2586 7.2586 3.6856
angles: 90.00 90.00 90.00
With the nearest neighbours (Å) after each atom.
Space group P4_2/mnm (No. 136)
One atom of each set of equivalent atoms:
1 Yb 0.0000 0.0000 0.0000 (multiplicity 2)  6 Ge 2.85-2.94
2 Co 0.0804 0.3554 0.5000 (multiplicity 8)  3 Ge 2.40, 5 Co 2.40-2.51
3 Ge 0.2227 0.7773 0.5000 (multiplicity 4)  6 Co 2.40

---

Compound: Zn3CoGe
Source: Alexandria via LeMat-Bulk
Functional: PBE
Structure: optimized geometry

Values from the calculation:
**ΔH_f (0 K)**: 0.98 eV/atom
**Raw total energy**: -2.134 eV per atom

abc: 4.7508 4.7508 4.7508
angles: 90.00 90.00 90.00
With the nearest neighbours (Å) after each atom.
Space group Pm-3m (No. 221)
One atom of each set of equivalent atoms:
1 Zn 0.0000 0.0000 0.5000 (multiplicity 3)  2 Ge 2.38
2 Co 0.5000 0.5000 0.5000 (multiplicity 1)  12 Zn 3.36
3 Ge 0.0000 0.0000 0.0000 (multiplicity 1)  6 Zn 2.38

---

Compound: ZnCo2Ge2
Source: Alexandria via LeMat-Bulk
Functional: PBE
Structure: optimized geometry

Values from the calculation:
**ΔH_f (0 K)**: -0.08 eV/atom
**Raw total energy**: -5.022 eV per atom

abc: 6.6809 6.6809 2.9588
angles: 90.00 90.00 90.00
With the nearest neighbours (Å) after each atom.
Space group P4/mbm (No. 127)
One atom of each set of equivalent atoms:
1 Zn 0.0000 0.0000 0.0000 (multiplicity 2)  4 Co 2.56
2 Co 0.1442 0.3558 0.0000 (multiplicity 4)  6 Ge 2.42-2.47, 2 Zn 2.56
3 Ge 0.1525 0.6525 0.5000 (multiplicity 4)  6 Co 2.42-2.47

---

Compound: Zn2CoGe
Source: Alexandria via LeMat-Bulk
Functional: PBE
Structure: optimized geometry

Values from the calculation:
**ΔH_f (0 K)**: 0.39 eV/atom
**Raw total energy**: -3.173 eV per atom

abc: 2.6460 2.6460 30.9245
angles: 90.00 90.00 120.00
With the nearest neighbours (Å) after each atom.
Space group R-3m (No. 166, hexagonal axes)
One atom of each set of equivalent atoms:
1 Zn 0.0000 0.0000 0.0805 (multiplicity 6)  1 Co 2.49, 6 Zn 2.65
2 Co 0.0000 0.0000 0.0000 (multiplicity 3)  2 Zn 2.49, 6 Co 2.65
3 Ge 0.0000 0.0000 0.5000 (multiplicity 3)  6 Ge 2.65

---

Compound: ZnCoGe3
Source: Alexandria via LeMat-Bulk
Functional: PBE
Structure: optimized geometry

Values from the calculation:
**ΔH_f (0 K)**: 1.06 eV/atom
**Raw total energy**: -3.387 eV per atom

abc: 4.7804 4.7804 4.7804
angles: 90.00 90.00 90.00
With the nearest neighbours (Å) after each atom.
Space group Pm-3m (No. 221)
One atom of each set of equivalent atoms:
1 Zn 0.0000 0.0000 0.0000 (multiplicity 1)  6 Ge 2.39
2 Co 0.5000 0.5000 0.5000 (multiplicity 1)  12 Ge 3.38
3 Ge 0.0000 0.0000 0.5000 (multiplicity 3)  2 Zn 2.39

---

Compound: ZnCo2Ge
Source: Alexandria via LeMat-Bulk
Functional: PBE
Structure: optimized geometry

Values from the calculation:
**ΔH_f (0 K)**: -0.12 eV/atom
**Raw total energy**: -5.141 eV per atom

abc: 2.8833 2.8833 5.7503
angles: 90.00 90.00 90.00
With the nearest neighbours (Å) after each atom.
Space group P4/mmm (No. 123)
One atom of each set of equivalent atoms:
1 Zn 0.0000 0.0000 0.0000 (multiplicity 1)  8 Co 2.55
2 Co 0.5000 0.5000 0.2659 (multiplicity 2)  4 Ge 2.44, 4 Zn 2.55, 1 Co 2.69
3 Ge 0.0000 0.0000 0.5000 (multiplicity 1)  8 Co 2.44

---

Compound: ZnCo4Ge2
Source: Alexandria via LeMat-Bulk
Functional: PBE
Structure: optimized geometry

Values from the calculation:
**ΔH_f (0 K)**: -0.06 eV/atom
**Raw total energy**: -5.618 eV per atom

abc: 3.9497 3.9497 19.4720
angles: 90.00 90.00 120.00
With the nearest neighbours (Å) after each atom.
Space group R-3m (No. 166, hexagonal axes)
One atom of each set of equivalent atoms:
1 Zn 0.0000 0.0000 0.0000 (multiplicity 3)  8 Co 2.43-2.45
2 Co 0.0000 0.0000 0.1261 (multiplicity 6)  4 Ge 2.33-2.40, 1 Zn 2.45
3 Co 0.0000 0.0000 0.3772 (multiplicity 6)  4 Ge 2.43-2.56, 3 Zn 2.43
4 Ge 0.0000 0.0000 0.2458 (multiplicity 6)  8 Co 2.33-2.56

---

Compound: ZnCoGe
Source: Alexandria via LeMat-Bulk
Functional: PBE
Structure: optimized geometry

Values from the calculation:
**ΔH_f (0 K)**: -0.01 eV/atom
**Raw total energy**: -4.345 eV per atom

abc: 3.1086 3.1086 8.2511
angles: 90.00 90.00 90.00
With the nearest neighbours (Å) after each atom.
Space group I4mm (No. 107)
One atom of each set of equivalent atoms:
1 Zn 0.0000 0.0000 0.0000 (multiplicity 2)  5 Ge 2.58-2.69, 5 Co 2.62-2.70
2 Co 0.0000 0.0000 0.6723 (multiplicity 2)  4 Ge 2.48, 5 Zn 2.62-2.70
3 Ge 0.0000 0.0000 0.3126 (multiplicity 2)  4 Co 2.48, 5 Zn 2.58-2.69

---

Compound: Zn2CoGe2
Source: Alexandria via LeMat-Bulk
Functional: PBE
Structure: optimized geometry

Values from the calculation:
**ΔH_f (0 K)**: 0.17 eV/atom
**Raw total energy**: -3.608 eV per atom

abc: 6.2200 6.2200 4.0421
angles: 90.00 90.00 90.00
With the nearest neighbours (Å) after each atom.
Space group P4/mbm (No. 127)
One atom of each set of equivalent atoms:
1 Zn 0.1684 0.3316 0.0000 (multiplicity 4)  6 Ge 2.59-2.82
2 Co 0.0000 0.0000 0.5000 (multiplicity 2)  4 Ge 2.38
3 Ge 0.1473 0.6473 0.5000 (multiplicity 4)  2 Co 2.38, 1 Ge 2.59, 2 Zn 2.59

---

Compound: ZnCoGe
Source: Alexandria via LeMat-Bulk
Functional: PBE
Structure: optimized geometry

Values from the calculation:
**ΔH_f (0 K)**: -0.11 eV/atom
**Raw total energy**: -4.441 eV per atom

abc: 4.0913 4.0913 5.3237
angles: 90.00 90.00 90.00
With the nearest neighbours (Å) after each atom.
Space group P4_2/mmc (No. 131)
One atom of each set of equivalent atoms:
1 Zn 0.0000 0.5000 0.0000 (multiplicity 2)  4 Co 2.44, 2 Ge 2.66
2 Co 0.0000 0.0000 0.2500 (multiplicity 2)  4 Ge 2.44, 4 Zn 2.44, 2 Co 2.66
3 Ge 0.0000 0.5000 0.5000 (multiplicity 2)  4 Co 2.44, 2 Zn 2.66

---

Compound: ZnCo3Ge
Source: Alexandria via LeMat-Bulk
Functional: PBE
Structure: optimized geometry

Values from the calculation:
**ΔH_f (0 K)**: 0.80 eV/atom
**Raw total energy**: -4.642 eV per atom

abc: 4.3044 4.3044 4.3044
angles: 90.00 90.00 90.00
With the nearest neighbours (Å) after each atom.
Space group Pm-3m (No. 221)
One atom of each set of equivalent atoms:
1 Zn 0.0000 0.0000 0.0000 (multiplicity 1)  12 Co 3.04
2 Co 0.0000 0.5000 0.5000 (multiplicity 3)  2 Ge 2.15
3 Ge 0.5000 0.5000 0.5000 (multiplicity 1)  6 Co 2.15

---

Compound: ZnCo2Ge2
Source: Alexandria via LeMat-Bulk
Functional: PBE
Structure: optimized geometry

Values from the calculation:
**ΔH_f (0 K)**: -0.05 eV/atom
**Raw total energy**: -4.997 eV per atom

abc: 8.8419 7.7121 4.6716
angles: 90.00 116.08 90.00
With the nearest neighbours (Å) after each atom.
Space group C2/c (No. 15)
One atom of each set of equivalent atoms:
1 Zn 0.0000 0.1077 0.2500 (multiplicity 4)  4 Co 2.50-2.58, 2 Ge 2.78
2 Co 0.0000 0.2263 0.7500 (multiplicity 4)  4 Ge 2.39-2.41, 3 Zn 2.51-2.58, 1 Co 2.63
3 Co 0.0000 0.4325 0.2500 (multiplicity 4)  4 Ge 2.33-2.42, 1 Zn 2.50, 2 Co 2.56
4 Ge 0.2269 0.3924 0.1307 (multiplicity 8)  4 Co 2.33-2.42

---

Compound: ZnCo5Ge3
Source: Alexandria via LeMat-Bulk
Functional: PBE
Structure: optimized geometry

Values from the calculation:
**ΔH_f (0 K)**: -0.11 eV/atom
**Raw total energy**: -5.738 eV per atom

abc: 7.0444 7.0444 5.0468
angles: 90.00 90.00 120.00
With the nearest neighbours (Å) after each atom.
Space group P6_3/mcm (No. 193)
One atom of each set of equivalent atoms:
1 Zn 0.0000 0.0000 0.0000 (multiplicity 2)  6 Co 2.48, 2 Zn 2.52
2 Co 0.0000 0.3023 0.2500 (multiplicity 6)  5 Ge 2.31-2.57, 2 Zn 2.48
3 Co 0.3333 0.6667 0.0000 (multiplicity 4)  8 Co 2.52-2.77, 6 Ge 2.56
4 Ge 0.0000 0.3692 0.7500 (multiplicity 6)  9 Co 2.31-2.57

---

Compound: ZnCoGe
Source: Alexandria via LeMat-Bulk
Functional: PBE
Structure: optimized geometry

Values from the calculation:
**ΔH_f (0 K)**: 0.06 eV/atom
**Raw total energy**: -4.276 eV per atom

abc: 4.0177 4.0177 2.9827
angles: 90.00 90.00 120.00
With the nearest neighbours (Å) after each atom.
Space group P-6m2 (No. 187)
One atom of each set of equivalent atoms:
1 Zn 0.0000 0.0000 0.0000 (multiplicity 1)  6 Ge 2.76, 6 Co 2.76, 2 Zn 2.98
2 Co 0.6667 0.3333 0.5000 (multiplicity 1)  3 Ge 2.32
3 Ge 0.3333 0.6667 0.5000 (multiplicity 1)  3 Co 2.32